{
  "formula": "Ce3SbCl3",
  "functional": "PBE-GGA",
  "state": "optimized geometry",
  "space_group": "R-3, No. 148",
  "m_tot_mub_per_cell": 9.00,
  "mass_density_g_cm3": 4.677,
  "energy_ev_per_atom": -5.3888,
  "cell": [[3.6452, 2.1045, 10.0030], [-3.6452, 2.1045, 10.0030], [0.0000, -4.2091, 10.0030]],
  "species": ["Ce", "Ce", "Ce", "Ce", "Ce", "Ce", "Sb", "Sb", "Cl", "Cl", "Cl", "Cl", "Cl", "Cl"],
  "frac_coords": [[0.1295, 0.4390, 0.7491], [0.2509, 0.8705, 0.5610], [0.4390, 0.7491, 0.1295], [0.5610, 0.2509, 0.8705], [0.7491, 0.1295, 0.4390], [0.8705, 0.5610, 0.2509], [0.1667, 0.1667, 0.1667], [0.8333, 0.8333, 0.8333], [0.0342, 0.7386, 0.3874], [0.2614, 0.6126, 0.9658], [0.3874, 0.0342, 0.7386], [0.6126, 0.9658, 0.2614], [0.7386, 0.3874, 0.0342], [0.9658, 0.2614, 0.6126]]
}

***

{
  "formula": "Li2Ag14Se9",
  "functional": "PBE-GGA",
  "state": "optimized geometry",
  "space_group": "P-3, No. 147",
  "m_tot_mub_per_cell": 0.00,
  "mass_density_g_cm3": 6.556,
  "energy_ev_per_atom": -3.1841,
  "cell": [[7.6977, 0.0000, 0.0000], [-3.8489, 6.6664, 0.0000], [0.0000, 0.0000, 11.0292]],
  "species": ["Li", "Li", "Ag", "Ag", "Ag", "Ag", "Ag", "Ag", "Ag", "Ag", "Ag", "Ag", "Ag", "Ag", "Ag", "Ag", "Se", "Se", "Se", "Se", "Se", "Se", "Se", "Se", "Se"],
  "frac_coords": [[0.3333, 0.6667, 0.2562], [0.6667, 0.3333, 0.7438], [0.0000, 0.0000, 0.2497], [0.0000, 0.0000, 0.7503], [0.0033, 0.6825, 0.4121], [0.0241, 0.6729, 0.9106], [0.3175, 0.3208, 0.4121], [0.3208, 0.0033, 0.5879], [0.3271, 0.3513, 0.9106], [0.3513, 0.0241, 0.0894], [0.6487, 0.9759, 0.9106], [0.6729, 0.6487, 0.0894], [0.6792, 0.9967, 0.4121], [0.6825, 0.6792, 0.5879], [0.9759, 0.3271, 0.0894], [0.9967, 0.3175, 0.5879], [0.0000, 0.0000, 0.0000], [0.0010, 0.6550, 0.6677], [0.3333, 0.6667, 0.0190], [0.3450, 0.3460, 0.6677], [0.3460, 0.0010, 0.3323], [0.6540, 0.9990, 0.6677], [0.6550, 0.6540, 0.3323], [0.6667, 0.3333, 0.9810], [0.9990, 0.3450, 0.3323]]
}

***

{
  "formula": "KScSeBr2",
  "functional": "PBE-GGA",
  "state": "optimized geometry",
  "e_above_lowest_polymorph_mev_per_atom": 1495,
  "space_group": "P4/mmm, No. 123",
  "m_tot_mub_per_cell": 0.91,
  "mass_density_g_cm3": 2.984,
  "energy_ev_per_atom": -2.9223,
  "cell": [[5.5773, 0.0000, 0.0000], [0.0000, 5.5773, 0.0000], [0.0000, 0.0000, 5.7759]],
  "species": ["K", "Sc", "Se", "Br", "Br"],
  "frac_coords": [[0.0000, 0.0000, 0.0000], [0.5000, 0.5000, 0.5000], [0.0000, 0.0000, 0.5000], [0.0000, 0.5000, 0.0000], [0.5000, 0.0000, 0.0000]]
}

***

{
  "formula": "Tl4AgCl6",
  "functional": "PBE-GGA",
  "state": "optimized geometry",
  "space_group": "P4/mnc, No. 128",
  "m_tot_mub_per_cell": 1.51,
  "mass_density_g_cm3": 5.697,
  "energy_ev_per_atom": -2.9459,
  "cell": [[8.6697, 0.0000, 0.0000], [0.0000, 8.6697, 0.0000], [0.0000, 0.0000, 8.8269]],
  "species": ["Tl", "Tl", "Tl", "Tl", "Tl", "Tl", "Tl", "Tl", "Ag", "Ag", "Cl", "Cl", "Cl", "Cl", "Cl", "Cl", "Cl", "Cl", "Cl", "Cl", "Cl", "Cl"],
  "frac_coords": [[0.1553, 0.3447, 0.2500], [0.1553, 0.3447, 0.7500], [0.3447, 0.8447, 0.2500], [0.3447, 0.8447, 0.7500], [0.6553, 0.1553, 0.2500], [0.6553, 0.1553, 0.7500], [0.8447, 0.6553, 0.2500], [0.8447, 0.6553, 0.7500], [0.0000, 0.0000, 0.0000], [0.5000, 0.5000, 0.5000], [0.0000, 0.0000, 0.2760], [0.0000, 0.0000, 0.7240], [0.1306, 0.7015, 0.0000], [0.2015, 0.6306, 0.5000], [0.2985, 0.1306, 0.0000], [0.3694, 0.2015, 0.5000], [0.5000, 0.5000, 0.2240], [0.5000, 0.5000, 0.7760], [0.6306, 0.7985, 0.5000], [0.7015, 0.8694, 0.0000], [0.7985, 0.3694, 0.5000], [0.8694, 0.2985, 0.0000]]
}

***

{
  "formula": "LaTb6Sm6",
  "functional": "PBE-GGA",
  "state": "optimized geometry",
  "space_group": "P6/mmm, No. 191",
  "m_tot_mub_per_cell": 0.00,
  "formation_energy_kj_per_mol_fu": 320,
  "mass_density_g_cm3": 7.365,
  "energy_ev_per_atom": -4.4386,
  "cell": [[6.7099, 0.0000, 0.0000], [-3.3549, 5.8109, 0.0000], [0.0000, 0.0000, 11.5346]],
  "species": ["La", "Tb", "Tb", "Tb", "Tb", "Tb", "Tb", "Sm", "Sm", "Sm", "Sm", "Sm", "Sm"],
  "frac_coords": [[0.0000, 0.0000, 0.0000], [0.0000, 0.5000, 0.2489], [0.0000, 0.5000, 0.7511], [0.5000, 0.0000, 0.2489], [0.5000, 0.0000, 0.7511], [0.5000, 0.5000, 0.2489], [0.5000, 0.5000, 0.7511], [0.0000, 0.0000, 0.3528], [0.0000, 0.0000, 0.6472], [0.3333, 0.6667, 0.0000], [0.3333, 0.6667, 0.5000], [0.6667, 0.3333, 0.0000], [0.6667, 0.3333, 0.5000]]
}

***

{
  "formula": "PmSm2Tl",
  "functional": "PBE-GGA",
  "state": "optimized geometry",
  "e_above_lowest_polymorph_mev_per_atom": 157,
  "space_group": "Fm-3m, No. 225",
  "m_tot_mub_per_cell": 1.46,
  "formation_energy_kj_per_mol_fu": -16,
  "mass_density_g_cm3": 8.812,
  "energy_ev_per_atom": -4.1799,
  "cell": [[0.0000, 3.9419, 3.9419], [3.9419, 0.0000, 3.9419], [3.9419, 3.9419, 0.0000]],
  "species": ["Pm", "Sm", "Sm", "Tl"],
  "frac_coords": [[0.0000, 0.0000, 0.0000], [0.2500, 0.2500, 0.2500], [0.7500, 0.7500, 0.7500], [0.5000, 0.5000, 0.5000]]
}

***

{
  "formula": "FeAgOs2",
  "functional": "PBE-GGA",
  "state": "optimized geometry",
  "e_above_lowest_polymorph_mev_per_atom": 360,
  "space_group": "F-43m, No. 216",
  "m_tot_mub_per_cell": 3.22,
  "formation_energy_kj_per_mol_fu": 273,
  "mass_density_g_cm3": 15.325,
  "energy_ev_per_atom": -7.7349,
  "cell": [[0.0000, 3.0892, 3.0892], [3.0892, 0.0000, 3.0892], [3.0892, 3.0892, 0.0000]],
  "species": ["Fe", "Ag", "Os", "Os"],
  "frac_coords": [[0.0000, 0.0000, 0.0000], [0.7500, 0.7500, 0.7500], [0.2500, 0.2500, 0.2500], [0.5000, 0.5000, 0.5000]]
}

***

{
  "formula": "HoEr2In2",
  "functional": "PBE-GGA",
  "state": "optimized geometry",
  "e_above_lowest_polymorph_mev_per_atom": 58,
  "space_group": "Cmc2_1, No. 36",
  "m_tot_mub_per_cell": 0.00,
  "formation_energy_kj_per_mol_fu": -151,
  "mass_density_g_cm3": 8.842,
  "energy_ev_per_atom": -4.1494,
  "cell": [[2.6545, -7.9755, 0.0000], [2.6545, 7.9755, 0.0000], [0.0000, 0.0000, 6.4672]],
  "species": ["Ho", "Ho", "Er", "Er", "Er", "Er", "In", "In", "In", "In"],
  "frac_coords": [[0.0983, 0.9017, 0.5000], [0.9017, 0.0983, 0.0000], [0.3033, 0.6967, 0.7311], [0.4748, 0.5252, 0.2992], [0.5252, 0.4748, 0.7992], [0.6967, 0.3033, 0.2311], [0.1015, 0.8985, 0.0135], [0.2868, 0.7132, 0.2202], [0.7132, 0.2868, 0.7202], [0.8985, 0.1015, 0.5135]]
}